[1]
Material: YGeRu
Method: DFT, PBE
State: relaxed

Summary:
**DOS(E_F)**: 0.721 states/eV/atom
**Space-group type**: P-6m2 (187)
**E_form**: -55 kJ/mol of atoms

Cell: 4.375 4.375 3.529 Å, 90.00 90.00 120.00°
Sites, in units of the cell vectors:
1 Y 0.000 0.000 0.000
2 Ge 0.333 0.667 0.500
3 Ru 0.667 0.333 0.500

---

[2]
Material: LaH2Au
Method: DFT, PBE
State: relaxed

Summary:
**DOS(E_F)**: 0.272 states/eV/atom
**Space-group type**: Fm-3m (225)
**Relative energy among the computed polymorphs**: 0.41 eV per formula unit

Cell: 6.195 6.195 6.195 Å, 90.00 90.00 90.00°
Sites, in units of the cell vectors:
1 La 0.000 0.000 0.000
2 La 0.000 0.500 0.500
3 La 0.500 0.000 0.500
4 La 0.500 0.500 0.000
5 H 0.250 0.250 0.250
6 H 0.250 0.250 0.750
7 H 0.250 0.750 0.250
8 H 0.250 0.750 0.750
9 H 0.750 0.250 0.250
10 H 0.750 0.250 0.750
11 H 0.750 0.750 0.250
12 H 0.750 0.750 0.750
13 Au 0.000 0.000 0.500
14 Au 0.000 0.500 0.000
15 Au 0.500 0.000 0.000
16 Au 0.500 0.500 0.500